# 1
# Co2NiRh

Crystalline Co2NiRh at its relaxed geometry (PBE, Alexandria).

Results
The formation energy is 0.56 eV per formula unit. For the density of states at the Fermi level, the calculation gives 4.7 states/eV per cell. Its space-group type is F-43m, No. 216.

Cell and atoms, written as POSCAR:
```
Co2NiRh
1.0
0.000 2.897 2.897
2.897 0.000 2.897
2.897 2.897 0.000
Co Ni Rh
2 1 1
Cartesian
0.000 0.000 0.000 Co
1.449 1.449 1.449 Co
2.897 2.897 2.897 Ni
4.346 4.346 4.346 Rh
```



# 2
# Co2Ni2Rh7

Crystalline Co2Ni2Rh7 at its relaxed geometry (PBE, Alexandria).

Results
The formation energy is 2.83 eV per formula unit. For the density of states at the Fermi level, the calculation gives 17.1 states/eV per cell. Its space-group type is C2/m, No. 12.

Cell and atoms, written as POSCAR:
```
Co2Ni2Rh7
1.0
4.147 -4.432 0.000
4.147 4.432 0.000
-2.038 0.000 4.178
Co Ni Rh
2 2 7
Cartesian
1.092 0.000 1.836 Co
5.165 0.000 2.342 Co
3.128 1.377 2.089 Ni
3.128 -1.377 2.089 Ni
1.043 2.199 3.392 Rh
-0.799 0.000 3.436 Rh
5.214 2.199 0.786 Rh
4.147 0.000 0.000 Rh
1.043 -2.199 3.392 Rh
7.056 0.000 0.742 Rh
5.214 -2.199 0.786 Rh
```



# 3
# Co3NiRh

Crystalline Co3NiRh at its relaxed geometry (PBE, Alexandria).

Results
The formation energy is 0.76 eV per formula unit. As for the offset from the most stable computed form: 19 kJ/mol of formula units. For the density of states at the Fermi level, the calculation gives 12.4 states/eV per cell. Its space-group type is P2_1/m, No. 11.

Cell and atoms, written as POSCAR:
```
Co3NiRh
1.0
4.132 0.000 0.000
0.000 5.003 0.000
-2.040 0.000 5.888
Co Ni Rh
6 2 2
Cartesian
-0.108 1.251 1.500 Co
0.008 0.014 3.616 Co
0.008 2.487 3.616 Co
2.084 2.516 2.272 Co
2.084 4.989 2.272 Co
2.200 3.752 4.388 Co
0.121 3.752 1.508 Ni
1.971 1.251 4.381 Ni
1.797 1.251 0.001 Rh
0.295 3.752 5.888 Rh
```



# 4
# Co2NiRh

Crystalline Co2NiRh at its relaxed geometry (PBE, Alexandria).

Results
The formation energy is 2.13 eV per formula unit. For the density of states at the Fermi level, the calculation gives 12.4 states/eV per cell. Its space-group type is I-42d, No. 122.

Cell and atoms, written as POSCAR:
```
Co2NiRh
1.0
-3.240 3.240 2.501
3.240 -3.240 2.501
3.240 3.240 -2.501
Co Ni Rh
4 2 2
Cartesian
4.860 1.496 -0.625 Co
1.496 1.620 0.625 Co
-1.620 1.744 1.876 Co
1.744 1.620 3.126 Co
0.000 0.000 0.000 Ni
0.000 3.240 1.250 Ni
3.240 0.000 1.250 Rh
0.000 0.000 2.501 Rh
```



| no. | raw total energy (eV/f.u.) |
| --- | --- |
| 1 | -26.8 |
| 2 | -74.4 |
| 3 | -33.7 |
| 4 | -25.2 |